Material: NdAuSO
Method: DFT, PBE-GGA
State: optimized geometry

abc: 5.6700 5.6697 9.0553
angles: 90.00 90.00 90.00
Last column: nearest neighbours and their distance in Å.
Sites, in units of the cell vectors:
Au 0.0000 0.5000 0.5000  4 S 2.74, 4 Au 2.83-2.84
Au 0.5000 0.5000 0.5000  4 S 2.74, 4 Au 2.83-2.84
Au 0.5000 0.0000 0.5000  4 S 2.74, 4 Au 2.83-2.84
Au 0.0000 0.0000 0.5000  4 S 2.74, 4 Au 2.83-2.84
O 0.0000 0.5000 0.0000  4 Nd 2.34
O 0.5000 0.0000 0.0000  4 Nd 2.34
O 0.5000 0.5000 0.0000  4 Nd 2.34
O 0.0000 0.0000 0.0000  4 Nd 2.34
S 0.2502 0.2504 0.7065  4 Au 2.74
S 0.7498 0.7496 0.7065  4 Au 2.74
S 0.7498 0.2504 0.2935  4 Au 2.74
S 0.2502 0.7496 0.2935  4 Au 2.74
Nd 0.7501 0.7500 0.1337  4 O 2.34
Nd 0.2499 0.7500 0.8663  4 O 2.34
Nd 0.2499 0.2500 0.1337  4 O 2.34
Nd 0.7501 0.2500 0.8663  4 O 2.34

Properties
The value obtained for the energy is -6.0423 eV per atom.

***

Material: NdAuSO
Method: DFT, PBE-GGA
State: optimized geometry

abc: 5.8327 5.8291 11.0339
angles: 90.00 92.04 90.00
Last column: nearest neighbours and their distance in Å.
Sites, in units of the cell vectors:
O 0.7485 0.0692 0.0002  4 Nd 2.35-2.37
O 0.2515 0.5692 0.9998  4 Nd 2.35-2.37
O 0.2487 0.0692 0.0011  4 Nd 2.35-2.37
O 0.7513 0.5692 0.9989  4 Nd 2.35-2.37
Au 0.9978 0.3416 0.2844  2 S 2.34-2.35
Au 0.0022 0.8416 0.7156  2 S 2.34-2.35
Au 0.3064 0.0948 0.5030  2 S 2.31
Au 0.6936 0.5948 0.4970  2 S 2.31
S 0.2844 0.0613 0.2944  2 Au 2.31-2.34
S 0.7156 0.5613 0.7056  2 Au 2.31-2.34
S 0.2901 0.1236 0.7112  2 Au 2.31-2.35
S 0.7099 0.6236 0.2888  2 Au 2.31-2.35
Nd 0.5060 0.3199 0.1040  4 O 2.35-2.37
Nd 0.9934 0.3203 0.8961  4 O 2.35-2.37
Nd 0.4940 0.8199 0.8960  4 O 2.35-2.37
Nd 0.0066 0.8203 0.1039  4 O 2.35-2.37

Properties
The value obtained for the energy is -6.1689 eV per atom.

***

Material: NdAuSO
Method: DFT, PBE-GGA
State: optimized geometry

abc: 4.0230 4.0230 8.9385
angles: 90.00 90.00 90.00
Last column: nearest neighbours and their distance in Å.
Sites, in units of the cell vectors:
Nd 0.7500 0.7500 0.8651  4 O 2.35
Nd 0.2500 0.2500 0.1349  4 O 2.35
S 0.2500 0.2500 0.7068  4 Au 2.73
S 0.7500 0.7500 0.2932  4 Au 2.73
Au 0.7500 0.2500 0.5000  4 S 2.73, 4 Au 2.84
Au 0.2500 0.7500 0.5000  4 S 2.73, 4 Au 2.84
O 0.7500 0.2500 0.0000  4 Nd 2.35
O 0.2500 0.7500 0.0000  4 Nd 2.35

Properties
The value obtained for the energy is -6.0414 eV per atom.

***

Q: Among the records above, which one has the highest energy?
A: number 3